Compound: MgIn2Si
Source: Alexandria
Functional: GGA-PBE
Structure: optimized geometry

Properties
Energy ... -2.88 eV per atom
Formation energy without anion corrections ... 0.246 eV/atom
Relative energy among the computed polymorphs ... 0.1297 eV per atom

```
data_MgIn2Si
_chemical_formula_sum 'Mg1 In2 Si1'
_cell_length_a 5.053
_cell_length_b 5.053
_cell_length_c 5.053
_cell_angle_alpha 60.00
_cell_angle_beta 60.00
_cell_angle_gamma 60.00
_space_group_name_H-M_alt 'P 1'
_space_group_IT_number 1
_space_group_name_Hall 'P 1'
loop_
_atom_site_label
_atom_site_type_symbol
_atom_site_fract_x
_atom_site_fract_y
_atom_site_fract_z
Mg1 Mg 0.000 0.000 0.000
In1 In 0.250 0.250 0.250
In2 In 0.750 0.750 0.750
Si1 Si 0.500 0.500 0.500
```

Compound: Hf3CrPt12
Source: Alexandria
Functional: GGA-PBE
Structure: optimized geometry

Properties
ΔH_f (0 K) ... -0.896 eV per atom
Energy ... -7.89 eV per atom

```
data_Hf3CrPt12
_chemical_formula_sum 'Hf3 Cr1 Pt12'
_cell_length_a 4.005
_cell_length_b 4.005
_cell_length_c 16.056
_cell_angle_alpha 90.00
_cell_angle_beta 90.00
_cell_angle_gamma 90.00
_space_group_name_H-M_alt 'P 1'
_space_group_IT_number 1
_space_group_name_Hall 'P 1'
loop_
_atom_site_label
_atom_site_type_symbol
_atom_site_fract_x
_atom_site_fract_y
_atom_site_fract_z
Hf1 Hf 0.000 0.000 0.000
Hf2 Hf 0.000 0.000 0.255
Hf3 Hf 0.000 0.000 0.745
Cr1 Cr 0.000 0.000 0.500
Pt1 Pt 0.000 0.500 0.126
Pt2 Pt 0.000 0.500 0.377
Pt3 Pt 0.000 0.500 0.623
Pt4 Pt 0.000 0.500 0.874
Pt5 Pt 0.500 0.000 0.126
Pt6 Pt 0.500 0.000 0.377
Pt7 Pt 0.500 0.000 0.623
Pt8 Pt 0.500 0.000 0.874
Pt9 Pt 0.500 0.500 0.000
Pt10 Pt 0.500 0.500 0.251
Pt11 Pt 0.500 0.500 0.500
Pt12 Pt 0.500 0.500 0.749
```

Compound: CaSbIr2
Source: Alexandria
Functional: GGA-PBE
Structure: optimized geometry

Properties
Energy ... -5.97 eV per atom
Formation energy without anion corrections ... -0.008 eV/atom

```
data_CaSbIr2
_chemical_formula_sum 'Ca1 Sb1 Ir2'
_cell_length_a 3.282
_cell_length_b 4.253
_cell_length_c 5.847
_cell_angle_alpha 90.00
_cell_angle_beta 90.00
_cell_angle_gamma 90.00
_space_group_name_H-M_alt 'P 1'
_space_group_IT_number 1
_space_group_name_Hall 'P 1'
loop_
_atom_site_label
_atom_site_type_symbol
_atom_site_fract_x
_atom_site_fract_y
_atom_site_fract_z
Ca1 Ca 0.000 0.000 0.000
Sb1 Sb 0.500 0.000 0.500
Ir1 Ir 0.500 0.500 0.228
Ir2 Ir 0.500 0.500 0.772
```